Entry 1:
A geometry-optimized Zn2SnO2 structure, computed with PBE.

* calculated volume: 16.07 Å³/atom
* formation energy from raw total energies: -0.62 eV/atom
* mass density: 5.82 g/cm3
* polymorph energy (0 for the lowest one): 0.055 eV per atom

abc: 6.9844 6.9844 3.2951
angles: 90.00 90.00 90.00
Space group P4/mbm (No. 127)
One atom of each set of equivalent atoms:
Zn 0.1195 0.3805 0.0000 x4
Sn 0.0000 0.0000 0.5000 x2
O 0.2320 0.2680 0.5000 x4

***

Entry 2:
A geometry-optimized SbRuW structure, computed with PBE.

* calculated volume: 17.41 Å³/atom
* formation energy from raw total energies: 0.36 eV/atom
* mass density: 12.93 g/cm3
* polymorph energy (0 for the lowest one): 0.167 eV per atom

abc: 2.9956 2.9956 6.7206
angles: 90.00 90.00 120.00
Space group P3m1 (No. 156)
One atom of each set of equivalent atoms:
Sb 0.0000 0.0000 0.0000 x1
Ru 0.6667 0.3333 0.6574 x1
W 0.3333 0.6667 0.3587 x1

***

Entry 3:
A geometry-optimized Pm5ScPb6 structure, computed with PBE.

* calculated volume: 30.33 Å³/atom
* formation energy from the elements: -0.46 eV per atom
* mass density: 9.19 g/cm3
* polymorph energy (0 for the lowest one): 0.010 eV per atom

abc: 9.4172 14.5623 5.9156
angles: 90.00 116.20 90.00
Space group C2/m (No. 12)
One atom of each set of equivalent atoms:
Pm 0.0000 0.0000 0.0000 x2
Pm 0.0000 0.1652 0.5000 x4
Pm 0.0000 0.3313 0.0000 x4
Sc 0.0000 0.5000 0.5000 x2
Pb 0.2425 0.3385 0.7432 x8
Pb 0.2435 0.5000 0.2703 x4

***

> mass density of number 3 (Pm5ScPb6)?

9.19 g/cm3

***

> Which of these has the highest polymorph energy (0 for the lowest one)?

SbRuW

***

> Look up the polymorph energy (0 for the lowest one) of the first one.

0.055 eV per atom

***

> Which of these has the lowest calculated volume?

Zn2SnO2